(1)
The following is a DFT calculation (PBE-GGA) of a relaxed AcTb4Nd7 crystal.

It has space group P-1 (No. 2), with a = 6.398 Å, b = 7.398 Å, c = 9.112 Å, α = 90.03°, β = 103.55° and γ = 90.01°. The distinct sites, in fractional coordinates, are Ac at (0.000, 0.000, 0.000), Tb at (0.218, 0.500, 0.665), Tb at (0.279, 0.257, 0.336), Nd at (0.000, 0.500, 0.000), Nd at (0.226, 0.000, 0.662), Nd at (0.281, 0.745, 0.337) and Nd at (0.500, 0.256, 0.002).

The calculated total energy is -0.34230 Ry per atom. For the density of states at the Fermi level, the calculation gives 16.46 states/eV/cell. The formation energy comes out at 0.12 eV per formula unit. The distance to the lowest polymorph of the same formula is 0 meV/atom.

***

(2)
The following is a DFT calculation (PBE-GGA) of a relaxed CuI3F crystal.

It has space group Pm-3m (No. 221), with a = 5.288 Å, b = 5.288 Å, c = 5.288 Å, α = 90.00°, β = 90.00° and γ = 90.00°. The distinct sites, in fractional coordinates, are Cu at (0.000, 0.000, 0.000), I at (0.000, 0.500, 0.500) and F at (0.500, 0.500, 0.500).

The calculated total energy is -0.12009 Ry per atom. For the density of states at the Fermi level, the calculation gives 5.85 states/eV/cell. The distance to the lowest polymorph of the same formula is 721 meV/atom.

***

(3)
The following is a DFT calculation (PBE-GGA) of a relaxed LiHgPd2 crystal.

It has space group I-42d (No. 122), with a = 3.883 Å, b = 3.883 Å, c = 18.849 Å, α = 90.00°, β = 90.00° and γ = 90.00°. The distinct sites, in fractional coordinates, are Li at (0.000, 0.000, 0.000), Hg at (0.000, 0.000, 0.500) and Pd at (0.243, 0.250, 0.125).

The calculated total energy is -0.23922 Ry per atom. For the density of states at the Fermi level, the calculation gives 7.69 states/eV/cell. The formation energy comes out at -0.42 eV per formula unit.

***

(4)
The following is a DFT calculation (PBE-GGA) of a relaxed V2CuMo2 crystal.

It has space group P4/mbm (No. 127), with a = 6.752 Å, b = 6.752 Å, c = 3.240 Å, α = 90.00°, β = 90.00° and γ = 90.00°. The distinct sites, in fractional coordinates, are V at (0.131, 0.369, 0.000), Cu at (0.000, 0.000, 0.000) and Mo at (0.178, 0.678, 0.500).

The calculated total energy is -0.61902 Ry per atom. For the density of states at the Fermi level, the calculation gives 10.28 states/eV/cell. The formation energy comes out at 1.88 eV per formula unit. The distance to the lowest polymorph of the same formula is 0 meV/atom.

***

(5)
The following is a DFT calculation (PBE-GGA) of a relaxed RbHS5 crystal.

It has space group C2 (No. 5), with a = 5.669 Å, b = 18.258 Å, c = 4.397 Å, α = 90.00°, β = 124.34° and γ = 90.00°. The distinct sites, in fractional coordinates, are Rb at (0.000, 0.000, 0.000), H at (0.000, 0.385, 0.500), S at (0.000, 0.143, 0.500), S at (0.161, 0.391, 0.277) and S at (0.197, 0.709, 0.039).

The calculated total energy is -0.27289 Ry per atom. For the density of states at the Fermi level, the calculation gives 4.91 states/eV/cell.

***

(6)
The following is a DFT calculation (PBE-GGA) of a relaxed NbGaRu crystal.

It has space group P3m1 (No. 156), with a = 4.4410 Å, b = 4.4410 Å, c = 5.4739 Å, α = 90.00°, β = 90.00° and γ = 120.00°. The distinct sites, in fractional coordinates, are Nb at (0.0000, 0.0000, 0.0000), Nb at (0.3333, 0.6667, 0.2269), Ga at (0.0000, 0.0000, 0.5020), Ga at (0.6667, 0.3333, 0.8550), Ru at (0.3333, 0.6667, 0.7255) and Ru at (0.6667, 0.3333, 0.3584).

The calculated total energy is -0.56847 Ry per atom. For the density of states at the Fermi level, the calculation gives 4.31 states/eV/cell. The formation energy comes out at -0.83 eV per formula unit.

***

(7)
The following is a DFT calculation (PBE-GGA) of a relaxed RbAlHgI2 crystal.

It has space group P4/mmm (No. 123), with a = 6.176 Å, b = 6.176 Å, c = 5.242 Å, α = 90.00°, β = 90.00° and γ = 90.00°. The distinct sites, in fractional coordinates, are Rb at (0.000, 0.000, 0.000), Al at (0.500, 0.500, 0.500), Hg at (0.500, 0.500, 0.000) and I at (0.000, 0.500, 0.500).

The calculated total energy is -0.16678 Ry per atom. For the density of states at the Fermi level, the calculation gives 0.51 states/eV/cell.

***

(8)
The following is a DFT calculation (PBE-GGA) of a relaxed K2BaTa crystal.

It has space group Cmmm (No. 65), with a = 3.691 Å, b = 5.708 Å, c = 14.333 Å, α = 90.00°, β = 90.00° and γ = 90.00°. The distinct sites, in fractional coordinates, are K at (0.000, 0.000, 0.215), Ba at (0.000, 0.500, 0.500) and Ta at (0.000, 0.500, 0.000).

The calculated total energy is -0.20237 Ry per atom. For the density of states at the Fermi level, the calculation gives 10.72 states/eV/cell. The formation energy comes out at 4.96 eV per formula unit. The distance to the lowest polymorph of the same formula is 255 meV/atom.

***

(9)
The following is a DFT calculation (PBE-GGA) of a relaxed LaTc3Ge3 crystal.

It has space group P6_3/m (No. 176), with a = 8.4785 Å, b = 8.4785 Å, c = 4.4436 Å, α = 90.00°, β = 90.00° and γ = 120.00°. The distinct sites, in fractional coordinates, are La at (0.3333, 0.6667, 0.2500), Tc at (0.0449, 0.8424, 0.2500) and Ge at (0.0808, 0.6936, 0.7500).

The calculated total energy is -0.54563 Ry per atom. For the density of states at the Fermi level, the calculation gives 6.05 states/eV/cell. The formation energy comes out at -2.09 eV per formula unit. The distance to the lowest polymorph of the same formula is 0 meV/atom.

***

(10)
The following is a DFT calculation (PBE-GGA) of a relaxed LiNpAgSe3 crystal.

It has space group P2_1/m (No. 11), with a = 7.355 Å, b = 3.891 Å, c = 9.778 Å, α = 90.00°, β = 107.49° and γ = 90.00°. The distinct sites, in fractional coordinates, are Li at (0.191, 0.250, 0.121), Np at (0.243, 0.750, 0.725), Ag at (0.375, 0.750, 0.402), Se at (0.052, 0.250, 0.841), Se at (0.179, 0.250, 0.491) and Se at (0.459, 0.750, 0.160).

The calculated total energy is -0.40634 Ry per atom. For the density of states at the Fermi level, the calculation gives 17.48 states/eV/cell.

***

(11)
The following is a DFT calculation (PBE-GGA) of a relaxed Sm4MgHg5 crystal.

It has space group P4/mmm (No. 123), with a = 3.737 Å, b = 3.737 Å, c = 18.723 Å, α = 90.00°, β = 90.00° and γ = 90.00°. The distinct sites, in fractional coordinates, are Sm at (0.000, 0.000, 0.104), Sm at (0.000, 0.000, 0.310), Mg at (0.000, 0.000, 0.500), Hg at (0.500, 0.500, 0.000), Hg at (0.500, 0.500, 0.205) and Hg at (0.500, 0.500, 0.412).

The calculated total energy is -0.19348 Ry per atom. For the density of states at the Fermi level, the calculation gives 8.94 states/eV/cell. The formation energy comes out at -4.34 eV per formula unit.

***

(12)
The following is a DFT calculation (PBE-GGA) of a relaxed Zn2MoAs crystal.

It has space group P4/mmm (No. 123), with a = 3.715 Å, b = 3.715 Å, c = 4.477 Å, α = 90.00°, β = 90.00° and γ = 90.00°. The distinct sites, in fractional coordinates, are Zn at (0.000, 0.500, 0.000), Mo at (0.000, 0.000, 0.500) and As at (0.500, 0.500, 0.500).

The calculated total energy is -0.31499 Ry per atom. For the density of states at the Fermi level, the calculation gives 2.48 states/eV/cell. The formation energy comes out at 0.89 eV per formula unit.